Entry from Alexandria via LeMat-Bulk: a PBEsol-optimized structure of Cd2BRhI (SCAN).

Cell: 5.2919 5.2919 3.9395 Å, 90.00 90.00 90.00°
Space group P4/mmm (No. 123)
Inequivalent atoms, fractional coordinates:
Cd 0.0000 0.5000 0.0000 x2
B 0.0000 0.0000 0.5000 x1
Rh 0.0000 0.0000 0.0000 x1
I 0.5000 0.5000 0.5000 x1

Output
For the density, the calculation gives 7.006 g/cm³. The total energy comes out at -137.26 eV per cell.